1.
# Na2PuBr2O2 PBE-GGA optimized geometry
data_Na2PuBr2O2
_cell_length_a 4.267
_cell_length_b 4.267
_cell_length_c 17.147
_cell_angle_alpha 90.00
_cell_angle_beta 90.00
_cell_angle_gamma 90.00
_space_group_name_H-M_alt 'I 4/m m m'
_space_group_IT_number 139
_space_group_name_Hall '-I 4 2'
loop_
_atom_site_label
_atom_site_fract_x
_atom_site_fract_y
_atom_site_fract_z
Na1 0.000 0.000 0.124
Pu1 0.000 0.000 0.500
Br1 0.000 0.000 0.329
O1 0.000 0.500 0.000
# - total moment (μB per formula unit) = 4.0
# - uncorrected formation energy (eV/atom) = -2.0348

=====

2.
# BeSe2S PBE-GGA optimized geometry
data_BeSe2S
_cell_length_a 6.442
_cell_length_b 6.442
_cell_length_c 6.442
_cell_angle_alpha 90.00
_cell_angle_beta 90.00
_cell_angle_gamma 90.00
_space_group_name_H-M_alt 'F m -3 m'
_space_group_IT_number 225
_space_group_name_Hall '-F 4 2 3'
loop_
_atom_site_label
_atom_site_fract_x
_atom_site_fract_y
_atom_site_fract_z
Be1 0.000 0.000 0.000
Se1 0.250 0.250 0.250
S1 0.000 0.000 0.500
# - total moment (μB per formula unit) = 0.0
# - E above lowest polymorph (meV/atom) = 697
# - uncorrected formation energy (eV/atom) = 0.7947